# 1
{
  "formula": "HfAgPb",
  "functional": "PBE",
  "state": "relaxed",
  "cell": [[-1.754, 1.754, 5.311], [1.754, -1.754, 5.311], [1.754, 1.754, -5.311]],
  "species": ["Hf", "Ag", "Pb"],
  "fractional_positions": [[0.986, 0.986, 0.000], [0.339, 0.339, 0.000], [0.674, 0.674, 0.000]]
}


# 2
{
  "formula": "NbFeAg",
  "functional": "PBE",
  "state": "relaxed",
  "cell": [[3.786, -1.714, -0.566], [0.792, -3.858, 1.441], [0.480, -3.185, -2.687]],
  "species": ["Fe", "Nb", "Ag"],
  "fractional_positions": [[0.000, 0.000, 0.000], [0.750, 0.750, 0.750], [0.250, 0.250, 0.250]],
  "ef_ev_per_atom": 0.668
}


# 3
{
  "formula": "MgNbFeSn",
  "functional": "PBE",
  "state": "relaxed",
  "cell": [[-2.282, -3.921, 0.230], [-3.248, -0.557, 3.126], [-4.361, -0.167, -1.261]],
  "species": ["Sn", "Nb", "Fe", "Mg"],
  "fractional_positions": [[0.000, 0.000, 0.000], [0.500, 0.500, 0.500], [0.750, 0.750, 0.750], [0.250, 0.250, 0.250]]
}


# 4
{
  "formula": "HfBeSnOs",
  "functional": "PBE",
  "state": "relaxed",
  "cell": [[-0.317, -4.228, 1.616], [-4.013, -1.607, 1.381], [-2.117, -3.201, -2.421]],
  "species": ["Be", "Sn", "Hf", "Os"],
  "fractional_positions": [[0.750, 0.750, 0.750], [0.500, 0.500, 0.500], [0.250, 0.250, 0.250], [0.000, 0.000, 0.000]]
}


# 5
{
  "formula": "Ba2InOsN6",
  "functional": "PBE",
  "state": "relaxed",
  "cell": [[5.474, 2.181, 0.411], [-1.144, 1.860, 5.488], [-0.824, -5.671, -1.433]],
  "species": ["In", "N", "N", "N", "N", "N", "N", "Os", "Ba", "Ba"],
  "fractional_positions": [[0.500, 0.500, 0.000], [0.761, 0.772, 0.533], [0.239, 0.228, 0.467], [0.772, 0.239, 0.011], [0.233, 0.233, 0.000], [0.228, 0.761, 0.989], [0.767, 0.767, 0.000], [0.000, 0.000, 0.000], [0.750, 0.250, 0.500], [0.250, 0.750, 0.500]]
}


# 6
{
  "formula": "ZnPdSeO",
  "functional": "PBE",
  "state": "relaxed",
  "cell": [[-2.324, 4.974, 0.343], [-2.348, -1.648, 7.999], [4.690, 2.067, 1.803]],
  "species": ["Pd", "Pd", "Pd", "Pd", "Se", "Se", "Se", "Se", "O", "O", "O", "O", "Zn", "Zn", "Zn", "Zn"],
  "fractional_positions": [[0.502, 0.651, 0.090], [0.002, 0.349, 0.090], [0.998, 0.651, 0.590], [0.498, 0.349, 0.590], [0.485, 0.640, 0.603], [0.985, 0.360, 0.603], [0.515, 0.360, 0.103], [0.015, 0.640, 0.103], [0.442, 0.092, 0.603], [0.058, 0.092, 0.103], [0.558, 0.908, 0.103], [0.942, 0.908, 0.603], [0.382, 0.084, 0.955], [0.618, 0.916, 0.455], [0.882, 0.916, 0.955], [0.118, 0.084, 0.455]]
}


Result set for uncorrected energy: -5.312; -6.407; -5.812; -7.076; -6.352; -4.375 eV per atom, one per record in the order listed.